Record 1
AsPb2N, relaxed, DFT PBE; space group = No. 122; excess energy over the best structure of this formula in the dataset = 0.000 eV per atom; ΔE_f (raw) = 0.5464 eV per atom; DOS at the Fermi energy = 0.957 states/eV per atom
1.0
-1.8344 5.5594 2.0011
-5.9012 -1.8291 -0.3280
-3.5963 0.0308 6.1817
N Pb As
2 4 2
direct
0.5000 0.5000 0.0000
0.2500 0.7500 0.5000
0.5622 0.1250 0.2500
0.1878 0.6250 0.2500
0.8750 0.8122 0.7500
0.3750 0.4378 0.7500
0.7500 0.2500 0.5000
0.0000 0.0000 0.0000

---

Record 2
SmPuAu3, relaxed, DFT PBE; space group = No. 11; DOS at the Fermi energy = 2.947 states/eV per atom; final energy = -62.80 eV per cell
1.0
-3.4440 4.0080 -2.3848
-2.7056 -5.1010 -1.6823
-3.9707 0.1383 5.9667
Au Pu Sm
6 2 2
direct
0.3193 0.6239 0.4402
0.0552 0.7706 0.7500
0.9448 0.2294 0.2500
0.6807 0.3761 0.9402
0.6807 0.3761 0.5598
0.3193 0.6239 0.0598
0.5901 0.8878 0.7500
0.4099 0.1122 0.2500
0.1583 0.2836 0.7500
0.8417 0.7164 0.2500